[1]
Below is a relaxed structure of LaTbGdPb, with properties calculated at the PBE level.

Results
Mass density   8.9 g/cm3
DFT total energy   -7.017 eV/atom

Lattice parameters (Å, degrees): 5.587 5.587 5.587 60.00 60.00 60.00
Sites, in units of the cell vectors:
Tb1 0.500 0.500 0.500
La1 0.000 0.000 0.000
Gd1 0.750 0.750 0.750
Pb1 0.250 0.250 0.250



[2]
Below is a relaxed structure of La2Tb2Sc, with properties calculated at the PBE level.

Results
Mass density   6.6 g/cm3
DFT total energy   -4.960 eV/atom

Lattice parameters (Å, degrees): 6.313 6.313 9.194 109.22 106.70 95.86
Sites, in units of the cell vectors:
Tb1 0.869 0.239 0.036
La1 0.208 0.777 0.344
Sc1 0.689 0.939 0.250
Tb2 0.131 0.761 0.964
Tb3 0.203 0.333 0.464
La2 0.433 0.364 0.156
Tb4 0.797 0.667 0.536
La3 0.567 0.636 0.844
La4 0.792 0.223 0.656
Sc2 0.311 0.061 0.750



[3]
Below is a relaxed structure of Li2PaNiH8, with properties calculated at the PBE level.

Results
Mass density   5.5 g/cm3
DFT total energy   -4.089 eV/atom

Lattice parameters (Å, degrees): 4.147 4.080 5.955 68.66 90.00 90.11
Sites, in units of the cell vectors:
H1 0.253 0.855 0.863
H2 0.500 0.236 0.481
Ni1 0.000 0.000 0.000
H3 0.748 0.851 0.864
H4 0.001 0.610 0.302
H5 0.747 0.145 0.137
Pa1 0.000 0.000 0.500
Li1 0.500 0.335 0.804
H6 0.500 0.764 0.519
H7 0.252 0.149 0.136
Li2 0.500 0.665 0.196
H8 0.999 0.390 0.698



[4]
Below is a relaxed structure of NaCuSbPd, with properties calculated at the PBE level.

Results
Mass density   7.4 g/cm3
ΔE_f (raw)   -0.18 eV per atom

Lattice parameters (Å, degrees): 4.649 4.649 4.649 60.00 60.00 60.00
Sites, in units of the cell vectors:
Na1 0.750 0.750 0.750
Sb1 0.250 0.250 0.250
Pd1 0.000 0.000 0.000
Cu1 0.500 0.500 0.500



[5]
Below is a relaxed structure of CsSr2I5, with properties calculated at the PBE level.

Results
Mass density   4.2 g/cm3
Polymorph energy (0 for the lowest one)   9 meV per atom
ΔE_f (raw)   -1.65 eV per atom

Lattice parameters (Å, degrees): 5.067 8.398 10.068 114.65 104.57 90.00
Sites, in units of the cell vectors:
I1 0.344 0.083 0.689
I2 0.000 0.500 0.000
I3 0.656 0.395 0.311
I4 0.656 0.917 0.311
Sr1 0.814 0.314 0.627
Cs1 0.000 0.000 0.000
I5 0.344 0.605 0.689
Sr2 0.186 0.686 0.373



[6]
Below is a relaxed structure of LaNpP2, with properties calculated at the PBE level.

Results
Mass density   7.4 g/cm3
Polymorph energy (0 for the lowest one)   0 meV per atom

Lattice parameters (Å, degrees): 4.098 4.098 7.157 73.36 73.36 60.00
Sites, in units of the cell vectors:
Np1 0.000 0.000 0.000
La1 0.500 0.500 0.500
P1 0.742 0.742 0.773
P2 0.258 0.258 0.227



[7]
Below is a relaxed structure of FeHg3H, with properties calculated at the PBE level.

Results
Mass density   7.9 g/cm3
Polymorph energy (0 for the lowest one)   47 meV per atom

Lattice parameters (Å, degrees): 5.181 5.181 5.181 90.00 90.00 90.00
Sites, in units of the cell vectors:
H1 0.500 0.500 0.500
Hg1 0.000 0.500 0.000
Hg2 0.000 0.000 0.500
Hg3 0.500 0.000 0.000
Fe1 0.000 0.000 0.000



[8]
Below is a relaxed structure of NpTc2PC, with properties calculated at the PBE level.

Results
Mass density   10.5 g/cm3
DFT total energy   -10.021 eV/atom

Lattice parameters (Å, degrees): 3.768 5.874 7.188 90.00 90.00 108.70
Sites, in units of the cell vectors:
Tc1 0.170 0.340 0.559
Tc2 0.170 0.340 0.941
Tc3 0.830 0.660 0.441
Np1 0.543 0.085 0.250
P1 0.734 0.468 0.750
C1 0.000 0.000 0.000
Tc4 0.830 0.660 0.059
P2 0.266 0.532 0.250
C2 0.000 0.000 0.500
Np2 0.457 0.915 0.750



[9]
Below is a relaxed structure of HfMnCd, with properties calculated at the PBE level.

Results
Mass density   10.5 g/cm3
DFT total energy   -6.647 eV/atom

Lattice parameters (Å, degrees): 2.933 2.933 12.934 96.51 96.51 90.00
Sites, in units of the cell vectors:
Cd1 0.557 0.557 0.113
Cd2 0.443 0.443 0.887
Hf1 0.154 0.154 0.309
Mn1 0.726 0.726 0.453
Mn2 0.274 0.274 0.547
Hf2 0.846 0.846 0.691



[10]
Below is a relaxed structure of Ba3GaIr2, with properties calculated at the PBE level.

Results
Mass density   7.2 g/cm3
DFT total energy   -4.705 eV/atom

Lattice parameters (Å, degrees): 6.630 12.272 10.318 90.00 108.18 90.00
Sites, in units of the cell vectors:
Ga1 0.409 0.803 0.317
Ir1 0.528 0.980 0.260
Ga2 0.909 0.697 0.817
Ba1 0.203 0.043 0.413
Ba2 0.297 0.543 0.087
Ba3 0.169 0.228 0.841
Ba4 0.253 0.410 0.535
Ga3 0.591 0.197 0.683
Ir2 0.028 0.520 0.760
Ir3 0.711 0.859 0.844
Ir4 0.211 0.641 0.344
Ir5 0.472 0.020 0.740
Ba5 0.797 0.957 0.587
Ba6 0.747 0.590 0.465
Ba7 0.753 0.090 0.035
Ir6 0.289 0.141 0.156
Ba8 0.703 0.457 0.913
Ba9 0.331 0.728 0.659
Ba10 0.831 0.772 0.159
Ir7 0.972 0.480 0.240
Ga4 0.091 0.303 0.183
Ir8 0.789 0.359 0.656
Ba11 0.669 0.272 0.341
Ba12 0.247 0.910 0.965



[11]
Below is a relaxed structure of LiTa2In, with properties calculated at the PBE level.

Results
Mass density   10.7 g/cm3
DFT total energy   -6.811 eV/atom

Lattice parameters (Å, degrees): 5.060 5.060 5.428 82.50 82.50 33.07
Sites, in units of the cell vectors:
Ta1 0.010 0.010 0.967
In1 0.496 0.496 0.471
Li1 0.248 0.248 0.271
Ta2 0.747 0.747 0.791



[12]
Below is a relaxed structure of Sr2RePb, with properties calculated at the PBE level.

Results
Mass density   8.2 g/cm3
DFT total energy   -4.126 eV/atom

Lattice parameters (Å, degrees): 10.991 10.991 10.991 18.39 18.39 18.39
Sites, in units of the cell vectors:
Re1 0.750 0.750 0.750
Sr1 0.490 0.490 0.490
Pb1 0.250 0.250 0.250
Sr2 0.010 0.010 0.010



[13]
Below is a relaxed structure of InHF3, with properties calculated at the PBE level.

Results
Mass density   3.9 g/cm3
Polymorph energy (0 for the lowest one)   0 meV per atom

Lattice parameters (Å, degrees): 4.202 4.202 4.202 90.00 90.00 90.00
Sites, in units of the cell vectors:
F1 0.500 0.000 0.000
F2 0.000 0.000 0.500
H1 0.500 0.500 0.500
F3 0.000 0.500 0.000
In1 0.000 0.000 0.000



[14]
Below is a relaxed structure of Tb2Ga5PdRh2, with properties calculated at the PBE level.

Results
Mass density   9.0 g/cm3
DFT total energy   -5.075 eV/atom

Lattice parameters (Å, degrees): 3.983 9.546 9.546 90.00 90.00 90.00
Sites, in units of the cell vectors:
Tb1 0.000 0.182 0.318
Tb2 0.000 0.682 0.182
Ga1 0.500 0.801 0.943
Tb3 0.000 0.818 0.682
Rh1 0.000 0.384 0.116
Ga2 0.500 0.057 0.801
Ga3 0.500 0.943 0.199
Rh2 0.000 0.884 0.384
Ga4 0.500 0.557 0.699
Ga5 0.500 0.699 0.443
Rh3 0.000 0.616 0.884
Ga6 0.500 0.443 0.301
Ga7 0.500 0.500 0.000
Ga8 0.500 0.199 0.057
Pd1 0.000 0.500 0.500
Tb4 0.000 0.318 0.818
Pd2 0.000 0.000 0.000
Ga9 0.500 0.000 0.500
Ga10 0.500 0.301 0.557
Rh4 0.000 0.116 0.616



[15]
Below is a relaxed structure of BaHgOs2, with properties calculated at the PBE level.

Results
Mass density   12.9 g/cm3
DFT total energy   -5.088 eV/atom

Lattice parameters (Å, degrees): 2.960 4.561 6.844 90.00 90.00 90.00
Sites, in units of the cell vectors:
Os1 0.000 0.000 0.921
Os2 0.000 0.000 0.579
Ba1 0.500 0.500 0.250
Hg1 0.500 0.500 0.750



[16]
Below is a relaxed structure of Pu2PdPt2, with properties calculated at the PBE level.

Results
Mass density   16.8 g/cm3
Polymorph energy (0 for the lowest one)   90 meV per atom

Lattice parameters (Å, degrees): 5.301 5.301 9.237 88.74 88.74 48.63
Sites, in units of the cell vectors:
Pt1 0.651 0.151 0.455
Pu1 0.940 0.439 0.351
Pt2 0.849 0.349 0.045
Pu2 0.060 0.561 0.649
Pu3 0.439 0.940 0.851
Pt3 0.349 0.849 0.545
Pd1 0.750 0.250 0.750
Pd2 0.250 0.750 0.250
Pu4 0.561 0.060 0.149
Pt4 0.151 0.651 0.955



[17]
Below is a relaxed structure of CsLa2Hg2, with properties calculated at the PBE level.

Results
Mass density   7.6 g/cm3
Polymorph energy (0 for the lowest one)   0 meV per atom

Lattice parameters (Å, degrees): 9.778 9.778 3.700 90.00 90.00 90.00
Sites, in units of the cell vectors:
Cs1 0.500 0.500 0.000
Hg1 0.138 0.362 0.000
Hg2 0.862 0.638 0.000
Hg3 0.638 0.138 0.000
La1 0.649 0.851 0.500
Cs2 0.000 0.000 0.000
Hg4 0.362 0.862 0.000
La2 0.149 0.649 0.500
La3 0.851 0.351 0.500
La4 0.351 0.149 0.500



[18]
Below is a relaxed structure of Sc3Be, with properties calculated at the PBE level.

Results
Mass density   2.9 g/cm3
Polymorph energy (0 for the lowest one)   82 meV per atom

Lattice parameters (Å, degrees): 6.190 6.190 4.357 90.00 90.00 102.26
Sites, in units of the cell vectors:
Sc1 0.188 0.417 0.250
Be1 0.684 0.316 0.250
Sc2 0.812 0.583 0.750
Sc3 0.583 0.812 0.250
Sc4 0.119 0.881 0.250
Sc5 0.417 0.188 0.750
Sc6 0.881 0.119 0.750
Be2 0.316 0.684 0.750



[19]
Below is a relaxed structure of Nd2Sm4Dy5, with properties calculated at the PBE level.

Results
Mass density   7.7 g/cm3
Polymorph energy (0 for the lowest one)   0 meV per atom

Lattice parameters (Å, degrees): 3.479 8.814 12.162 96.58 98.22 90.00
Sites, in units of the cell vectors:
Dy1 0.858 0.882 0.716
Dy2 0.142 0.118 0.284
Dy3 0.233 0.828 0.465
Sm1 0.321 0.529 0.643
Dy4 0.767 0.172 0.535
Sm2 0.954 0.641 0.908
Sm3 0.046 0.359 0.092
Sm4 0.679 0.471 0.357
Nd1 0.091 0.740 0.181
Nd2 0.909 0.260 0.819
Dy5 0.500 0.000 0.000



[20]
Below is a relaxed structure of Nd4Bi3, with properties calculated at the PBE level.

Results
Mass density   8.0 g/cm3
Polymorph energy (0 for the lowest one)   126 meV per atom

Lattice parameters (Å, degrees): 4.736 4.736 13.087 79.58 79.58 60.00
Sites, in units of the cell vectors:
Bi1 0.239 0.239 0.283
Nd1 0.378 0.378 0.865
Nd2 0.622 0.622 0.135
Nd3 0.865 0.865 0.404
Bi2 0.761 0.761 0.717
Nd4 0.135 0.135 0.596
Bi3 0.000 0.000 0.000



[21]
Below is a relaxed structure of NaDyOs2O8, with properties calculated at the PBE level.

Results
Mass density   7.3 g/cm3
ΔE_f (raw)   -1.54 eV per atom

Lattice parameters (Å, degrees): 5.254 5.254 6.835 112.60 112.60 90.00
Sites, in units of the cell vectors:
O1 0.314 0.908 0.326
O2 0.406 0.326 0.153
O3 0.173 0.594 0.847
O4 0.012 0.418 0.326
Dy1 0.000 0.000 0.000
Na1 0.750 0.250 0.500
O5 0.092 0.988 0.674
O6 0.582 0.686 0.674
Os1 0.250 0.750 0.500
O7 0.747 0.827 0.153
Os2 0.500 0.500 0.000
O8 0.674 0.253 0.847



[22]
Below is a relaxed structure of Be2Re2F, with properties calculated at the PBE level.

Results
Mass density   10.9 g/cm3
Polymorph energy (0 for the lowest one)   0 meV per atom
ΔE_f (raw)   0.25 eV per atom

Lattice parameters (Å, degrees): 6.531 6.531 2.937 90.00 90.00 90.00
Sites, in units of the cell vectors:
Re1 0.126 0.374 0.000
Re2 0.626 0.126 0.000
F1 0.500 0.500 0.000
Re3 0.874 0.626 0.000
Be1 0.163 0.663 0.500
Be2 0.663 0.837 0.500
Re4 0.374 0.874 0.000
Be3 0.837 0.337 0.500
Be4 0.337 0.163 0.500
F2 0.000 0.000 0.000



[23]
Below is a relaxed structure of Cr2NiOs, with properties calculated at the PBE level.

Results
Mass density   11.9 g/cm3
DFT total energy   -8.981 eV/atom

Lattice parameters (Å, degrees): 4.442 4.442 2.644 90.00 90.00 109.24
Sites, in units of the cell vectors:
Os1 0.000 0.500 0.500
Cr1 0.500 0.500 0.000
Ni1 0.500 0.000 0.500
Cr2 0.000 0.000 0.000



[24]
Below is a relaxed structure of TaMoPS2, with properties calculated at the PBE level.

Results
Mass density   6.3 g/cm3
Polymorph energy (0 for the lowest one)   330 meV per atom
ΔE_f (raw)   0.85 eV per atom

Lattice parameters (Å, degrees): 4.535 4.535 4.766 90.00 90.00 90.00
Sites, in units of the cell vectors:
Mo1 0.000 0.000 0.000
S1 0.500 0.000 0.000
P1 0.000 0.000 0.500
S2 0.000 0.500 0.000
Ta1 0.500 0.500 0.500